First-principles (GGA-PBE) data for a geometry-optimized TeAuSe2 structure, as listed in the Alexandria database.

Output
- Uncorrected energy: -2.87 eV per atom
- Space-group type: F-43m
- V: 87.4 Å³/cell
- Energy above the most stable polymorph in this dataset: 443 meV/atom

```
TeAuSe2
1.0
-0.314 -3.115 3.876
-0.078 -4.923 -0.761
3.928 -2.782 1.285
Se Te Au
2 1 1
Direct
0.000 0.000 0.000
0.750 0.750 0.750
0.250 0.250 0.250
0.500 0.500 0.500
```

First-principles (GGA-PBE) data for a geometry-optimized Ho6Ge2SbS3 structure, as listed in the Alexandria database.

Output
- Uncorrected energy: -5.90 eV per atom
- Space-group type: C2/m
- V: 286.2 Å³/cell

```
Ho6Ge2SbS3
1.0
4.079 0.000 0.000
0.000 8.126 0.346
-2.039 -2.288 8.538
Ho Sb Ge S
6 1 2 3
Direct
0.668 0.583 0.336
0.002 0.266 0.004
0.673 0.092 0.345
0.332 0.417 0.664
0.998 0.734 0.996
0.327 0.908 0.655
0.500 0.000 0.000
0.833 0.666 0.667
0.167 0.334 0.333
0.835 0.166 0.670
0.165 0.834 0.330
0.500 0.500 0.000
```

First-principles (GGA-PBE) data for a geometry-optimized AlRu2Pb structure, as listed in the Alexandria database.

Output
- Calculated formation energy: 0.1490 eV/atom
- Uncorrected energy: -6.35 eV per atom
- Space-group type: P2/m
- V: 66.9 Å³/cell
- Energy above the most stable polymorph in this dataset: 147 meV/atom

```
AlRu2Pb
1.0
-1.275 -3.514 1.171
0.185 -1.016 -2.845
5.446 -2.289 -0.941
Al Ru Pb
1 2 1
Direct
0.500 0.250 0.250
0.000 0.400 0.465
0.000 0.100 0.035
0.500 0.750 0.750
```

First-principles (GGA-PBE) data for a geometry-optimized LiPdI structure, as listed in the Alexandria database.

Output
- Uncorrected energy: -3.12 eV per atom
- Space-group type: P6_3/mmc
- V: 195.7 Å³/cell
- Energy above the most stable polymorph in this dataset: 322 meV/atom

```
LiPdI
1.0
-1.080 -0.096 4.563
0.927 -3.996 -2.275
9.946 0.955 2.375
Pd Li I
2 2 2
Direct
0.000 0.000 0.000
0.000 0.000 0.500
0.667 0.333 0.750
0.333 0.667 0.250
0.000 0.000 0.750
0.000 0.000 0.250
```

First-principles (GGA-PBE) data for a geometry-optimized HfTi2Te6 structure, as listed in the Alexandria database.

Output
- Uncorrected energy: -5.69 eV per atom
- Space-group type: P-31m
- V: 261.4 Å³/cell
- Energy above the most stable polymorph in this dataset: 0 meV/atom

```
HfTi2Te6
1.0
6.789 0.000 0.000
0.000 5.775 -3.334
0.000 0.000 6.668
Te Hf Ti
6 1 2
Direct
0.756 0.000 0.342
0.244 0.658 0.000
0.756 0.342 0.000
0.756 0.658 0.658
0.244 0.342 0.342
0.244 0.000 0.658
0.500 0.000 0.000
0.500 0.333 0.667
0.500 0.667 0.333
```

First-principles (GGA-PBE) data for a geometry-optimized BaNa2Tl8 structure, as listed in the Alexandria database.

Output
- Calculated formation energy: -0.1202 eV/atom
- Uncorrected energy: -2.26 eV per atom
- Space-group type: C2/m
- V: 354.4 Å³/cell
- Energy above the most stable polymorph in this dataset: 0 meV/atom

```
BaNa2Tl8
1.0
-1.458 5.792 -0.508
-5.069 5.083 -6.284
-9.719 1.142 1.520
Tl Ba Na
8 1 2
Direct
0.799 0.368 0.726
0.799 0.094 0.274
0.500 0.209 0.581
0.500 0.791 0.419
0.201 0.906 0.726
0.201 0.632 0.274
0.701 0.544 0.000
0.299 0.456 0.000
0.500 0.000 0.000
0.000 0.321 0.358
0.000 0.679 0.642
```

First-principles (GGA-PBE) data for a geometry-optimized Ag2Te5Au structure, as listed in the Alexandria database.

Output
- Uncorrected energy: -3.09 eV per atom
- Space-group type: P1
- V: 218.8 Å³/cell

```
Ag2Te5Au
1.0
8.555 -0.003 0.026
-0.003 8.550 0.032
-4.256 -4.261 2.962
Te Ag Au
5 2 1
Direct
0.357 0.312 0.197
0.597 0.597 0.195
0.311 0.840 0.196
0.838 0.883 0.193
0.884 0.354 0.193
0.096 0.597 0.193
0.596 0.096 0.193
0.097 0.097 0.195
```

First-principles (GGA-PBE) data for a geometry-optimized Na3Tm2PuS6 structure, as listed in the Alexandria database.

Output
- Uncorrected energy: -6.06 eV per atom
- Space-group type: C2/m
- V: 273.8 Å³/cell

```
Na3Tm2PuS6
1.0
-4.007 5.600 -0.303
-2.491 -5.885 2.583
4.219 1.891 5.310
Na S Tm Pu
3 6 2 1
Direct
0.167 0.833 0.500
0.500 0.500 0.500
0.833 0.167 0.500
0.415 0.075 0.225
0.265 0.265 0.775
0.585 0.925 0.775
0.735 0.735 0.225
0.925 0.585 0.775
0.075 0.415 0.225
0.667 0.333 0.000
0.333 0.667 0.000
0.000 0.000 0.000
```

First-principles (GGA-PBE) data for a geometry-optimized LiV2MoS structure, as listed in the Alexandria database.

Output
- Uncorrected energy: -6.18 eV per atom
- Space-group type: P4/mmm
- V: 106.8 Å³/cell

```
LiV2MoS
1.0
-2.736 3.957 -0.334
-1.450 -0.639 4.310
3.667 2.673 1.630
S Li V Mo
1 1 2 1
Direct
0.000 0.500 0.000
0.500 0.500 0.500
0.500 0.000 0.000
0.000 0.000 0.500
0.000 0.000 0.000
```

First-principles (GGA-PBE) data for a geometry-optimized AlHgMo2 structure, as listed in the Alexandria database.

Output
- Calculated formation energy: 0.3374 eV/atom
- Uncorrected energy: -6.09 eV per atom
- Space-group type: R-3m
- V: 68.0 Å³/cell
- Energy above the most stable polymorph in this dataset: 187 meV/atom

```
AlHgMo2
1.0
9.530 -0.014 -0.008
9.095 2.847 -0.008
9.095 1.383 2.488
Mo Al Hg
2 1 1
Direct
0.996 0.996 0.996
0.504 0.504 0.504
0.250 0.250 0.250
0.750 0.750 0.750
```

First-principles (GGA-PBE) data for a geometry-optimized Pr7HoTm12 structure, as listed in the Alexandria database.

Output
- Calculated formation energy: 0.6554 eV/atom
- Uncorrected energy: -3.93 eV per atom
- Space-group type: Im-3m
- V: 711.4 Å³/cell
- Energy above the most stable polymorph in this dataset: 428 meV/atom

```
Pr7HoTm12
1.0
-0.508 -2.388 -9.430
-5.557 -6.084 5.195
-3.171 9.130 1.212
Tm Pr Ho
12 7 1
Direct
0.245 0.490 0.245
0.245 0.999 0.755
0.245 0.245 0.490
0.755 0.755 0.510
0.755 0.510 0.755
0.245 0.755 0.001
0.490 0.245 0.245
0.755 0.001 0.245
0.755 0.245 0.999
0.001 0.245 0.755
0.999 0.755 0.245
0.510 0.755 0.755
0.500 0.000 0.500
0.000 0.000 0.500
0.000 0.500 0.500
0.500 0.500 0.500
0.500 0.000 0.000
0.500 0.500 0.000
0.000 0.500 0.000
0.000 0.000 0.000
```

First-principles (GGA-PBE) data for a geometry-optimized Na2TaMn2S6 structure, as listed in the Alexandria database.

Output
- Uncorrected energy: -6.08 eV per atom
- Space-group type: C2/m
- V: 205.0 Å³/cell

```
Na2TaMn2S6
1.0
-3.668 1.443 4.341
-0.329 -5.273 -2.543
5.726 -1.328 4.072
Mn S Na Ta
2 6 2 1
Direct
0.343 0.657 0.500
0.657 0.343 0.500
0.712 0.712 0.707
0.588 0.941 0.304
0.412 0.059 0.696
0.059 0.412 0.696
0.941 0.588 0.304
0.288 0.288 0.293
0.836 0.164 0.000
0.164 0.836 0.000
0.000 0.000 0.500
```

- Among the records above, which one has the lowest uncorrected energy?
  AlRu2Pb